First-principles (PBE) data for a relaxed MnFe2Hg crystal, as listed in Alexandria via LeMat-Bulk.

## Properties
formation energy from the elements: 428 meV/atom
M_tot: 4.5 μB per cell
final energy: -74.06 eV per cell

The structure in CIF format:
```
data_MnFe2Hg
_symmetry_space_group_name_H-M 'R 3 m'
_symmetry_Int_Tables_number 160
_symmetry_space_group_name_Hall 'R 3 -2"'
_cell_length_a 2.8913
_cell_length_b 2.8913
_cell_length_c 25.1429
_cell_angle_alpha 90.00
_cell_angle_beta 90.00
_cell_angle_gamma 120.00
loop_
_atom_site_label
_atom_site_type_symbol
_atom_site_fract_x
_atom_site_fract_y
_atom_site_fract_z
Mn1 Mn 0.0000 0.0000 0.0000
Fe1 Fe 0.0000 0.0000 0.2566
Fe2 Fe 0.0000 0.0000 0.5215
Hg1 Hg 0.0000 0.0000 0.7618
```